The following is a PBE calculation of YMnSi2Mo after structural relaxation, from the Alexandria database.

Cell and atoms, written as POSCAR:
```
YMnSi2Mo
1.0
3.9473 0.0000 0.0000
0.0000 3.9473 0.0000
-1.9737 -1.9737 5.4595
Si Mo Mn Y
2 1 1 1
Direct
0.6112 0.6112 0.2224
0.3888 0.3888 0.7776
0.7500 0.2500 0.5000
0.2500 0.7500 0.5000
0.0000 0.0000 0.0000
```

Summary:
Formation energy from raw total energies ... -0.5354 eV/atom
Total magnetization ... 2.5 μB/cell
Symmetry ... No. 119
Electronic total energy ... -0.2939 hartree per atom